1.
Th6Te3P2C: optimized geometry, PBE.

final energy: -88.0 eV/f.u.
space group: C2/m (12)

Cell lengths 7.144, 7.144, 7.763 Å; angles 98.83, 98.83, 119.97 degrees
Atoms (fractional coordinates):
Th: 0.065 0.377 0.197
Te: 0.500 0.500 0.500
Th: 0.935 0.623 0.803
Th: 0.244 0.244 0.798
C: 0.000 0.000 0.000
P: 0.666 0.334 0.000
Te: 0.174 0.826 0.500
Th: 0.756 0.756 0.202
Th: 0.623 0.935 0.803
Te: 0.826 0.174 0.500
Th: 0.377 0.065 0.197
P: 0.334 0.666 0.000

2.
Th6Te3PC2: optimized geometry, PBE.

final energy: -89.7 eV/f.u.
space group: C2/m (12)

Cell lengths 4.025, 8.775, 9.618 Å; angles 108.91, 102.08, 90.00 degrees
Atoms (fractional coordinates):
C: 0.829 0.663 0.658
P: 0.500 0.000 0.000
Th: 0.337 0.866 0.674
Th: 0.978 0.761 0.955
C: 0.171 0.337 0.342
Th: 0.022 0.239 0.045
Te: 0.838 0.166 0.677
Th: 0.318 0.450 0.636
Th: 0.682 0.550 0.364
Th: 0.663 0.134 0.326
Te: 0.162 0.834 0.323
Te: 0.500 0.500 0.000

3.
TiTe2PC: optimized geometry, PBE.

final energy: -24.5 eV/f.u.
space group: P4/mmm (123)

Cell lengths 5.323, 3.468, 5.323 Å; angles 90.00, 90.00, 90.00 degrees
Atoms (fractional coordinates):
Te: 0.500 0.000 0.000
Te: 0.000 0.000 0.500
C: 0.000 0.500 0.000
Ti: 0.500 0.500 0.500
P: 0.000 0.000 0.000

4.
Tm4Te2PC: optimized geometry, PBE.

final energy: -48.3 eV/f.u.
space group: P2/m (10)

Cell lengths 3.919, 6.856, 7.255 Å; angles 108.13, 90.00, 90.00 degrees
Atoms (fractional coordinates):
Tm: 0.000 0.287 0.806
Te: 0.000 0.500 0.500
Tm: 0.500 0.257 0.199
Tm: 0.500 0.743 0.801
Te: 0.500 0.000 0.500
Tm: 0.000 0.713 0.194
C: 0.500 0.500 0.000
P: 0.000 0.000 0.000

Per-record formation energy from raw total energies, meV per atom: -1169, -987, 854, -1182
Per-record N(E_F), states/eV/atom: 0.64, 0.56, 1.24, 0.28
Per-record theoretical density, Mg/m³: 9.40, 9.70, 5.85, 8.73